Entry from Alexandria: a relaxed structure of CoSi2Au (PBE).

a = 2.962 Å, b = 4.775 Å, c = 4.050 Å
α = 90.00°, β = 90.00°, γ = 90.00°
Positions (direct):
Au: 0.500 0.000 0.500
Co: 0.000 0.500 0.500
Si: 0.000 0.000 0.000
Si: 0.500 0.500 0.000

Raw formation energy = 306 meV per atom
Crystal system = orthorhombic
Space-group type = Pmmm
Theoretical density = 9.05 g/cm3
Total moment = 0.00 Bohr magnetons per cell